1.
# AcCe4Ir4, optimized geometry, DFT GGA-PBE
# N(E_F), states/eV/atom: 1.41
# SG: P4_2/n, No. 86
# Calculated volume, Å³/cell: 485.46
# Formation energy, kcal/mol of atoms: -15.7
data_AcCe4Ir4
_symmetry_space_group_name_H-M 'P 1'
_symmetry_Int_Tables_number 1
_cell_length_a 5.6329
_cell_length_b 9.2835
_cell_length_c 9.2835
_cell_angle_alpha 90.00
_cell_angle_beta 90.00
_cell_angle_gamma 90.00
loop_
_symmetry_equiv_pos_as_xyz
'x,y,z'
loop_
_atom_site_label
_atom_site_type_symbol
_atom_site_fract_x
_atom_site_fract_y
_atom_site_fract_z
Ac1 Ac 0.0000 0.0000 0.0000
Ac2 Ac 0.5000 0.5000 0.5000
Ce1 Ce 0.4988 0.3211 0.8923
Ce2 Ce 0.9988 0.6077 0.8211
Ce3 Ce 0.4988 0.6789 0.1077
Ce4 Ce 0.0012 0.1789 0.6077
Ce5 Ce 0.5012 0.8923 0.6789
Ce6 Ce 0.0012 0.8211 0.3923
Ce7 Ce 0.9988 0.3923 0.1789
Ce8 Ce 0.5012 0.1077 0.3211
Ir1 Ir 0.5011 0.8093 0.3830
Ir2 Ir 0.5011 0.1907 0.6170
Ir3 Ir 0.0011 0.8830 0.6907
Ir4 Ir 0.9989 0.3093 0.8830
Ir5 Ir 0.9989 0.6907 0.1170
Ir6 Ir 0.4989 0.3830 0.1907
Ir7 Ir 0.4989 0.6170 0.8093
Ir8 Ir 0.0011 0.1170 0.3093

***

2.
# Ac2TlAs, optimized geometry, DFT GGA-PBE
# N(E_F), states/eV/atom: 1.23
# SG: Fm-3m, No. 225
# Calculated volume, Å³/cell: 129.35
# Formation energy, kcal/mol of atoms: -12.8
data_Ac2TlAs
_symmetry_space_group_name_H-M 'P 1'
_symmetry_Int_Tables_number 1
_cell_length_a 5.6766
_cell_length_b 5.6766
_cell_length_c 5.6766
_cell_angle_alpha 60.00
_cell_angle_beta 60.00
_cell_angle_gamma 60.00
loop_
_symmetry_equiv_pos_as_xyz
'x,y,z'
loop_
_atom_site_label
_atom_site_type_symbol
_atom_site_fract_x
_atom_site_fract_y
_atom_site_fract_z
As1 As 0.0000 0.0000 0.0000
Ac1 Ac 0.2500 0.2500 0.2500
Ac2 Ac 0.7500 0.7500 0.7500
Tl1 Tl 0.5000 0.5000 0.5000

***

3.
# LaSnPdPt, optimized geometry, DFT GGA-PBE
# N(E_F), states/eV/atom: 0.58
# SG: Cm, No. 8
# Calculated volume, Å³/cell: 90.48
# Formation energy, kcal/mol of atoms: -20.5
data_LaSnPdPt
_symmetry_space_group_name_H-M 'P 1'
_symmetry_Int_Tables_number 1
_cell_length_a 4.6646
_cell_length_b 4.6629
_cell_length_c 5.5096
_cell_angle_alpha 115.09
_cell_angle_beta 90.00
_cell_angle_gamma 120.01
loop_
_symmetry_equiv_pos_as_xyz
'x,y,z'
loop_
_atom_site_label
_atom_site_type_symbol
_atom_site_fract_x
_atom_site_fract_y
_atom_site_fract_z
La1 La 0.6173 0.2346 0.4942
Sn1 Sn 0.1156 0.2312 0.9887
Pd1 Pd 0.8299 0.6598 0.1318
Pt1 Pt 0.4035 0.8071 0.8527

***

4.
# BaLa2F, optimized geometry, DFT GGA-PBE
# N(E_F), states/eV/atom: 1.91
# SG: Fm-3m, No. 225
# Calculated volume, Å³/cell: 121.31
data_BaLa2F
_symmetry_space_group_name_H-M 'P 1'
_symmetry_Int_Tables_number 1
_cell_length_a 5.5565
_cell_length_b 5.5565
_cell_length_c 5.5565
_cell_angle_alpha 60.00
_cell_angle_beta 60.00
_cell_angle_gamma 60.00
loop_
_symmetry_equiv_pos_as_xyz
'x,y,z'
loop_
_atom_site_label
_atom_site_type_symbol
_atom_site_fract_x
_atom_site_fract_y
_atom_site_fract_z
F1 F 0.0000 0.0000 0.0000
Ba1 Ba 0.5000 0.5000 0.5000
La1 La 0.2500 0.2500 0.2500
La2 La 0.7500 0.7500 0.7500

***

5.
# TiSbPS2, optimized geometry, DFT GGA-PBE
# N(E_F), states/eV/atom: 0.74
# SG: P4/mmm, No. 123
# Calculated volume, Å³/cell: 106.82
data_TiSbPS2
_symmetry_space_group_name_H-M 'P 1'
_symmetry_Int_Tables_number 1
_cell_length_a 4.5808
_cell_length_b 4.5808
_cell_length_c 5.0904
_cell_angle_alpha 90.00
_cell_angle_beta 90.00
_cell_angle_gamma 90.00
loop_
_symmetry_equiv_pos_as_xyz
'x,y,z'
loop_
_atom_site_label
_atom_site_type_symbol
_atom_site_fract_x
_atom_site_fract_y
_atom_site_fract_z
Sb1 Sb 0.5000 0.5000 0.5000
S1 S 0.0000 0.5000 0.0000
S2 S 0.5000 0.0000 0.0000
P1 P 0.0000 0.0000 0.5000
Ti1 Ti 0.0000 0.0000 0.0000

***

6.
# ErNpInO6, optimized geometry, DFT GGA-PBE
# N(E_F), states/eV/atom: 0.14
# SG: P-31c, No. 163
# Calculated volume, Å³/cell: 252.96
data_ErNpInO6
_symmetry_space_group_name_H-M 'P 1'
_symmetry_Int_Tables_number 1
_cell_length_a 5.6648
_cell_length_b 5.6648
_cell_length_c 9.1025
_cell_angle_alpha 90.00
_cell_angle_beta 90.00
_cell_angle_gamma 120.00
loop_
_symmetry_equiv_pos_as_xyz
'x,y,z'
loop_
_atom_site_label
_atom_site_type_symbol
_atom_site_fract_x
_atom_site_fract_y
_atom_site_fract_z
Er1 Er 0.3333 0.6667 0.2500
Er2 Er 0.6667 0.3333 0.7500
Np1 Np 0.6667 0.3333 0.2500
Np2 Np 0.3333 0.6667 0.7500
In1 In 0.0000 0.0000 0.0000
In2 In 0.0000 0.0000 0.5000
O1 O 0.6730 0.6499 0.1308
O2 O 0.9769 0.3270 0.1308
O3 O 0.3270 0.9769 0.6308
O4 O 0.0231 0.6730 0.8692
O5 O 0.3501 0.3270 0.3692
O6 O 0.9769 0.6499 0.3692
O7 O 0.6499 0.9769 0.8692
O8 O 0.6730 0.0231 0.3692
O9 O 0.0231 0.3501 0.6308
O10 O 0.3501 0.0231 0.1308
O11 O 0.6499 0.6730 0.6308
O12 O 0.3270 0.3501 0.8692

***

7.
# NpGe3, optimized geometry, DFT GGA-PBE
# N(E_F), states/eV/atom: 2.31
# SG: Pm-3m, No. 221
# Calculated volume, Å³/cell: 75.62
# Formation energy, kcal/mol of atoms: -5.2
data_NpGe3
_symmetry_space_group_name_H-M 'P 1'
_symmetry_Int_Tables_number 1
_cell_length_a 4.2281
_cell_length_b 4.2287
_cell_length_c 4.2297
_cell_angle_alpha 90.00
_cell_angle_beta 90.00
_cell_angle_gamma 90.00
loop_
_symmetry_equiv_pos_as_xyz
'x,y,z'
loop_
_atom_site_label
_atom_site_type_symbol
_atom_site_fract_x
_atom_site_fract_y
_atom_site_fract_z
Np1 Np 0.0000 0.5000 0.4167
Ge1 Ge 0.0000 0.0000 0.9167
Ge2 Ge 0.5000 0.0000 0.4166
Ge3 Ge 0.5000 0.5000 0.9167

***

8.
# CsSiP3, optimized geometry, DFT GGA-PBE
# N(E_F), states/eV/atom: 0.00
# SG: R3c, No. 161
# Calculated volume, Å³/cell: 339.90
data_CsSiP3
_symmetry_space_group_name_H-M 'P 1'
_symmetry_Int_Tables_number 1
_cell_length_a 7.7286
_cell_length_b 7.7286
_cell_length_c 7.7286
_cell_angle_alpha 61.84
_cell_angle_beta 61.84
_cell_angle_gamma 61.84
loop_
_symmetry_equiv_pos_as_xyz
'x,y,z'
loop_
_atom_site_label
_atom_site_type_symbol
_atom_site_fract_x
_atom_site_fract_y
_atom_site_fract_z
Cs1 Cs 0.7678 0.7678 0.7678
Cs2 Cs 0.2678 0.2678 0.2678
Si1 Si 0.9739 0.9739 0.9739
Si2 Si 0.4739 0.4739 0.4739
P1 P 0.1382 0.8931 0.1984
P2 P 0.1984 0.1382 0.8931
P3 P 0.8931 0.1984 0.1382
P4 P 0.6382 0.6984 0.3931
P5 P 0.6984 0.3931 0.6382
P6 P 0.3931 0.6382 0.6984

***

9.
# KRb14Hg, optimized geometry, DFT GGA-PBE
# N(E_F), states/eV/atom: 0.80
# SG: Amm2, No. 38
# Calculated volume, Å³/cell: 1347.49
# Formation energy, kcal/mol of atoms: -0.3
data_KRb14Hg
_symmetry_space_group_name_H-M 'P 1'
_symmetry_Int_Tables_number 1
_cell_length_a 9.8931
_cell_length_b 9.8931
_cell_length_c 14.1676
_cell_angle_alpha 90.00
_cell_angle_beta 90.00
_cell_angle_gamma 103.65
loop_
_symmetry_equiv_pos_as_xyz
'x,y,z'
loop_
_atom_site_label
_atom_site_type_symbol
_atom_site_fract_x
_atom_site_fract_y
_atom_site_fract_z
K1 K 0.1252 0.8748 0.5000
Rb1 Rb 0.1038 0.8962 0.0000
Rb2 Rb 0.5715 0.4285 0.0000
Rb3 Rb 0.1578 0.3976 0.5000
Rb4 Rb 0.0494 0.3753 0.0000
Rb5 Rb 0.6024 0.8422 0.5000
Rb6 Rb 0.6247 0.9506 0.0000
Rb7 Rb 0.4430 0.1782 0.6954
Rb8 Rb 0.4430 0.1782 0.3046
Rb9 Rb 0.8218 0.5570 0.6954
Rb10 Rb 0.8218 0.5570 0.3046
Rb11 Rb 0.3342 0.6659 0.7696
Rb12 Rb 0.3342 0.6659 0.2304
Rb13 Rb 0.9073 0.0927 0.7226
Rb14 Rb 0.9073 0.0927 0.2774
Hg1 Hg 0.7528 0.2472 0.5000

***

10.
# Ba3Nb2Se2O5, optimized geometry, DFT GGA-PBE
# N(E_F), states/eV/atom: 0.43
# SG: I4/mmm, No. 139
# Calculated volume, Å³/cell: 226.33
data_Ba3Nb2Se2O5
_symmetry_space_group_name_H-M 'P 1'
_symmetry_Int_Tables_number 1
_cell_length_a 4.2819
_cell_length_b 4.2819
_cell_length_c 12.7102
_cell_angle_alpha 99.70
_cell_angle_beta 99.70
_cell_angle_gamma 90.00
loop_
_symmetry_equiv_pos_as_xyz
'x,y,z'
loop_
_atom_site_label
_atom_site_type_symbol
_atom_site_fract_x
_atom_site_fract_y
_atom_site_fract_z
Ba1 Ba 0.1666 0.1666 0.3332
Ba2 Ba 0.8334 0.8334 0.6667
Ba3 Ba 0.0000 0.0000 0.0000
Nb1 Nb 0.4180 0.4180 0.8360
Nb2 Nb 0.5820 0.5820 0.1640
Se1 Se 0.6932 0.6932 0.3865
Se2 Se 0.3068 0.3068 0.6135
O1 O 0.5817 0.0817 0.1634
O2 O 0.4183 0.9183 0.8366
O3 O 0.0817 0.5817 0.1634
O4 O 0.9183 0.4183 0.8366
O5 O 0.5000 0.5000 0.0000

***

11.
# ScV2I, optimized geometry, DFT GGA-PBE
# N(E_F), states/eV/atom: 1.05
# SG: Fm-3m, No. 225
# Calculated volume, Å³/cell: 72.47
data_ScV2I
_symmetry_space_group_name_H-M 'P 1'
_symmetry_Int_Tables_number 1
_cell_length_a 4.6799
_cell_length_b 4.6799
_cell_length_c 4.6799
_cell_angle_alpha 60.00
_cell_angle_beta 60.00
_cell_angle_gamma 60.00
loop_
_symmetry_equiv_pos_as_xyz
'x,y,z'
loop_
_atom_site_label
_atom_site_type_symbol
_atom_site_fract_x
_atom_site_fract_y
_atom_site_fract_z
I1 I 0.5000 0.5000 0.5000
Sc1 Sc 0.0000 0.0000 0.0000
V1 V 0.2500 0.2500 0.2500
V2 V 0.7500 0.7500 0.7500

***

Number 1: E -7.711 eV per atom. Number 2: E -4.364 eV per atom. Number 3: E -5.930 eV per atom. Number 4: E -3.567 eV per atom. Number 5: E -5.254 eV per atom. Number 6: E -8.140 eV per atom. Number 7: E -6.922 eV per atom. Number 8: E -4.643 eV per atom. Number 9: E -0.946 eV per atom. Number 10: E -7.152 eV per atom. Number 11: E -5.857 eV per atom.